No. 1
The following is a PBE calculation of a relaxed ThBiAu2 crystal, from Alexandria via LeMat-Bulk.

Values from the calculation:
ΔE_f: -450 meV per atom
total magnetization: 0.0 μB per formula unit
SG: P4/mmm, No. 123

Lattice parameters (Å, degrees): 3.623 3.623 7.640 90.00 90.00 90.00
Element x y z (fractional)
Au 0.000 0.000 0.258
Au 0.000 0.000 0.742
Bi 0.500 0.500 0.000
Th 0.500 0.500 0.500

No. 2
The following is a PBE calculation of a relaxed SiMoBr2 crystal, from Alexandria via LeMat-Bulk.

Values from the calculation:
formation energy without anion corrections: 0.479 eV per atom
polymorph energy (0 for the lowest one): 495 meV per atom
total magnetization: 0.1 μB per formula unit
SG: R-3m, No. 166

Lattice parameters (Å, degrees): 10.894 10.894 10.894 16.93 16.93 16.93
Each line ends with the local moment (μB).
Element x y z (fractional)
Br 0.974 0.974 0.974  0.00
Br 0.526 0.526 0.526  0.00
Mo 0.250 0.250 0.250  0.09
Si 0.750 0.750 0.750  0.00

No. 3
The following is a PBE calculation of a relaxed Li2IrPbCl8 crystal, from Alexandria via LeMat-Bulk.

Values from the calculation:
formation energy without anion corrections: -1.005 eV per atom
total magnetization: 0.0 μB per formula unit
SG: P-1, No. 2

Lattice parameters (Å, degrees): 6.264 5.999 7.929 89.79 90.03 94.48
Element x y z (fractional)
Cl 0.842 0.212 0.790
Cl 0.158 0.788 0.210
Cl 0.657 0.695 0.501
Cl 0.343 0.305 0.499
Cl 0.306 0.263 0.000
Cl 0.841 0.210 0.208
Cl 0.159 0.790 0.792
Cl 0.694 0.737 0.000
Pb 0.000 0.000 0.500
Li 0.499 0.504 0.242
Li 0.501 0.496 0.758
Ir 0.000 0.000 0.000

No. 4
The following is a PBE calculation of a relaxed Pm3Ag2Ru crystal, from Alexandria via LeMat-Bulk.

Values from the calculation:
ΔE_f: -266 meV per atom
polymorph energy (0 for the lowest one): 0 meV per atom
total magnetization: 0.0 μB per formula unit
SG: Cmmm, No. 65

Lattice parameters (Å, degrees): 5.141 8.037 7.470 90.00 90.00 71.35
Element x y z (fractional)
Pm 0.173 0.654 0.771
Pm 0.827 0.346 0.229
Pm 0.500 0.000 0.766
Pm 0.827 0.346 0.771
Pm 0.173 0.654 0.229
Pm 0.500 0.000 0.234
Ru 0.335 0.330 0.000
Ru 0.665 0.670 0.000
Ag 0.336 0.328 0.500
Ag 0.000 0.000 0.000
Ag 0.000 0.000 0.500
Ag 0.664 0.672 0.500

No. 5
The following is a PBE calculation of a relaxed AgBiPt crystal, from Alexandria via LeMat-Bulk.

Values from the calculation:
ΔE_f: -57 meV per atom
polymorph energy (0 for the lowest one): 45 meV per atom
total magnetization: 0.0 μB per formula unit
SG: C2/m, No. 12

Lattice parameters (Å, degrees): 4.342 4.346 8.834 90.00 75.92 59.96
Element x y z (fractional)
Ag 0.551 0.995 0.712
Ag 0.780 0.381 0.870
Pt 0.548 0.497 0.217
Pt 0.783 0.879 0.364
Bi 0.309 0.117 0.076
Bi 0.023 0.259 0.505

No. 6
The following is a PBE calculation of a relaxed CaAlPb2 crystal, from Alexandria via LeMat-Bulk.

Values from the calculation:
ΔE_f: -112 meV per atom
total magnetization: 0.0 μB per formula unit
SG: Cmmm, No. 65

Lattice parameters (Å, degrees): 5.567 5.567 3.680 90.00 90.00 104.00
Element x y z (fractional)
Pb 0.000 0.000 0.000
Pb 0.500 0.500 0.000
Ca 0.000 0.500 0.500
Al 0.500 0.000 0.500

No. 7
The following is a PBE calculation of a relaxed C2SeClF crystal, from Alexandria via LeMat-Bulk.

Values from the calculation:
formation energy without anion corrections: 2.410 eV per atom
total magnetization: 1.3 μB per formula unit
SG: P4/mmm, No. 123

Lattice parameters (Å, degrees): 3.797 5.877 3.797 90.00 90.00 90.00
Each line ends with the local moment (μB).
Element x y z (fractional)
F 0.000 0.000 0.000  0.02
Cl 0.000 0.500 0.000  0.02
C 0.500 0.000 0.000  0.38
C 0.000 0.000 0.500  0.40
Se 0.500 0.500 0.500  -0.14

No. 8
The following is a PBE calculation of a relaxed Ca2FeAs crystal, from Alexandria via LeMat-Bulk.

Values from the calculation:
ΔE_f: -140 meV per atom
total magnetization: 2.7 μB per formula unit
SG: P4/mmm, No. 123

Lattice parameters (Å, degrees): 3.621 3.621 7.157 90.00 90.00 90.02
Each line ends with the local moment (μB).
Element x y z (fractional)
Ca 0.000 0.000 0.513  -0.04
Ca 0.000 0.000 0.987  -0.04
Fe 0.500 0.500 0.250  2.91
As 0.500 0.500 0.750  0.04

No. 9
The following is a PBE calculation of a relaxed Ba3Sn5Au6 crystal, from Alexandria via LeMat-Bulk.

Values from the calculation:
ΔE_f: -551 meV per atom
total magnetization: 0.0 μB per formula unit
SG: Pmmn, No. 59

Lattice parameters (Å, degrees): 4.850 10.730 14.381 90.00 90.00 90.00
Element x y z (fractional)
Sn 0.000 0.885 0.332
Sn 0.000 0.810 0.000
Sn 0.000 0.885 0.668
Sn 0.000 0.525 0.874
Sn 0.500 0.475 0.374
Sn 0.000 0.525 0.126
Sn 0.500 0.115 0.168
Sn 0.500 0.475 0.626
Sn 0.500 0.190 0.500
Sn 0.500 0.115 0.832
Au 0.000 0.987 0.851
Au 0.000 0.032 0.500
Au 0.500 0.968 0.000
Au 0.500 0.383 0.824
Au 0.000 0.617 0.676
Au 0.500 0.508 0.000
Au 0.500 0.013 0.649
Au 0.500 0.013 0.351
Au 0.000 0.617 0.324
Au 0.500 0.383 0.176
Au 0.000 0.987 0.149
Au 0.000 0.492 0.500
Ba 0.500 0.748 0.183
Ba 0.000 0.239 0.000
Ba 0.000 0.252 0.317
Ba 0.000 0.252 0.683
Ba 0.500 0.761 0.500
Ba 0.500 0.748 0.817

No. 10
The following is a PBE calculation of a relaxed Sr2CaMgHg crystal, from Alexandria via LeMat-Bulk.

Values from the calculation:
ΔE_f: -63 meV per atom
total magnetization: 0.0 μB per formula unit
SG: P4/mmm, No. 123

Lattice parameters (Å, degrees): 6.274 6.274 5.381 90.00 90.00 90.00
Element x y z (fractional)
Mg 0.000 0.000 0.500
Sr 0.500 0.000 0.000
Sr 0.000 0.500 0.000
Hg 0.000 0.000 0.000
Ca 0.500 0.500 0.500

Number 1: raw total energy -0.3611 Ry/atom. Number 2: raw total energy -0.3249 Ry/atom. Number 3: raw total energy -0.2648 Ry/atom. Number 4: raw total energy -0.3776 Ry/atom. Number 5: raw total energy -0.3172 Ry/atom. Number 6: raw total energy -0.2501 Ry/atom. Number 7: raw total energy -0.1999 Ry/atom. Number 8: raw total energy -0.3248 Ry/atom. Number 9: raw total energy -0.2791 Ry/atom. Number 10: raw total energy -0.1113 Ry/atom.